LiMg2BeBr: PBEsol geometry, meta-GGA SCAN.

Formation energy from raw total energies: 0.487 eV/atom
Magnetization: 0.00 μB/f.u.
V: 22.5 Å³ per atom

Unit cell a=4.189 b=5.179 c=5.179 alpha=90.00 beta=90.00 gamma=90.00
Atoms (fractional coordinates):
Mg1 0.000 0.000 0.500
Mg2 0.000 0.500 0.000
Be1 0.500 0.000 0.000
Br1 0.500 0.500 0.500
Li1 0.000 0.000 0.000